# 1
The following is a DFT calculation (PBE) of a relaxed K3CoCl crystal.

Unit cell a=6.0449 b=6.0449 c=6.0449 alpha=90.00 beta=90.00 gamma=90.00
With the nearest neighbours (Å) after each atom.
Fractional coordinates of all 5 atoms:
Cl 0.5000 0.5000 0.5000  12 K 4.27
K 0.0000 0.5000 0.0000  2 Co 3.02
K 0.5000 0.0000 0.0000  2 Co 3.02
K 0.0000 0.0000 0.5000  2 Co 3.02
Co 0.0000 0.0000 0.0000  6 K 3.02

Values from the calculation:
M_tot ... 0.214 μB per atom
Crystal system ... cubic
Theoretical density ... 1591 kg/m³
SG ... Pm-3m (221)
Electronic total energy ... -0.086 Ha/atom

# 2
The following is a DFT calculation (PBE) of a relaxed Zr6CuO crystal.

Unit cell a=5.0884 b=5.9077 c=5.7338 alpha=81.14 beta=89.36 gamma=66.40
With the nearest neighbours (Å) after each atom.
Fractional coordinates of all 8 atoms:
Zr 0.9283 0.6482 0.2177  1 O 2.41
Zr 0.5954 0.2568 0.1326  1 O 2.22
Zr 0.4046 0.7432 0.8674  1 O 2.22
Zr 0.2413 0.0075 0.3308  1 O 2.29
Zr 0.7587 0.9925 0.6692  1 O 2.29
Zr 0.0717 0.3518 0.7823  1 O 2.41
O 0.0000 0.0000 0.0000  6 Zr 2.22-2.41
Cu 0.5000 0.5000 0.5000  4 Zr 2.66-2.76

Values from the calculation:
M_tot ... 0.000 μB per atom
Crystal system ... triclinic
Theoretical density ... 6681 kg/m³
SG ... P-1 (2)
Electronic total energy ... -0.301 Ha/atom

# 3
The following is a DFT calculation (PBE) of a relaxed NaAcSeCl crystal.

Unit cell a=5.2979 b=5.2979 c=5.2979 alpha=60.00 beta=60.00 gamma=60.00
With the nearest neighbours (Å) after each atom.
Fractional coordinates of all 4 atoms:
Na 0.2500 0.2500 0.2500  4 Cl 3.24, 4 Se 3.24
Se 0.5000 0.5000 0.5000  4 Ac 3.24, 4 Na 3.24
Ac 0.7500 0.7500 0.7500  4 Se 3.24, 4 Cl 3.24
Cl 0.0000 0.0000 0.0000  4 Na 3.24, 4 Ac 3.24

Values from the calculation:
M_tot ... 0.177 μB per atom
Crystal system ... cubic
Theoretical density ... 5755 kg/m³
SG ... F-43m (216)
Electronic total energy ... -0.151 Ha/atom

# 4
The following is a DFT calculation (PBE) of a relaxed BeZnInNiPd crystal.

Unit cell a=3.0206 b=4.3191 c=5.7274 alpha=90.00 beta=105.19 gamma=90.00
With the nearest neighbours (Å) after each atom.
Fractional coordinates of all 5 atoms:
Zn 0.2487 0.5000 0.9532  2 Be 2.36, 2 Ni 2.52
Be 0.5844 0.5000 0.6244  2 Ni 2.26-2.27, 2 Zn 2.36
In 0.4424 0.0000 0.3395  4 Ni 2.64, 2 Be 2.67, 1 Pd 2.91
Ni 0.9315 0.5000 0.3188  2 Be 2.26-2.27, 2 Zn 2.52
Pd 0.7069 0.0000 0.8668  2 Be 2.54, 4 Zn 2.68

Values from the calculation:
M_tot ... 0.000 μB per atom
Crystal system ... monoclinic
Theoretical density ... 8160 kg/m³
SG ... Pm (6)
Electronic total energy ... -0.142 Ha/atom
Offset from the most stable computed form ... 122 meV per atom

# 5
The following is a DFT calculation (PBE) of a relaxed TlNi2Pb crystal.

Unit cell a=3.2594 b=3.4476 c=6.9284 alpha=75.16 beta=90.00 gamma=90.00
With the nearest neighbours (Å) after each atom.
Fractional coordinates of all 4 atoms:
Tl 0.5000 0.7500 0.7500  8 Ni 2.73
Pb 0.5000 0.2500 0.2500  4 Ni 2.73
Ni 0.0000 0.3535 0.5482  1 Ni 2.70, 2 Pb 2.73, 4 Tl 2.73
Ni 0.0000 0.1465 0.9518  1 Ni 2.70, 2 Pb 2.73, 4 Tl 2.73

Values from the calculation:
M_tot ... 0.000 μB per atom
Crystal system ... monoclinic
Theoretical density ... 11671 kg/m³
SG ... P2/m (10)
Electronic total energy ... -0.150 Ha/atom

# 6
The following is a DFT calculation (PBE) of a relaxed Li2RhN crystal.

Unit cell a=7.8602 b=7.8602 c=5.8675 alpha=47.95 beta=47.95 gamma=90.00
With the nearest neighbours (Å) after each atom.
Fractional coordinates of all 8 atoms:
Li 0.3750 0.5352 0.7500  2 N 2.14
Li 0.8750 0.7148 0.7500  2 N 2.14
Li 0.4648 0.1250 0.2500  2 N 2.14
Li 0.2852 0.6250 0.2500  2 N 2.14
Rh 0.0000 0.0000 0.0000  2 N 1.88
Rh 0.7500 0.2500 0.5000  2 N 1.88
N 0.5000 0.5000 0.0000  2 Rh 1.88
N 0.2500 0.7500 0.5000  2 Rh 1.88

Values from the calculation:
M_tot ... 0.000 μB per atom
Crystal system ... tetragonal
Theoretical density ... 3739 kg/m³
SG ... I-42d (122)
Electronic total energy ... -0.186 Ha/atom

# 7
The following is a DFT calculation (PBE) of a relaxed KY2Ag crystal.

Unit cell a=5.6295 b=5.6295 c=5.6295 alpha=60.00 beta=60.00 gamma=60.00
With the nearest neighbours (Å) after each atom.
Fractional coordinates of all 4 atoms:
Y 0.0000 0.0000 0.0000  4 Y 3.45, 4 K 3.45
Y 0.2500 0.2500 0.2500  4 Y 3.45, 4 Ag 3.45
Ag 0.5000 0.5000 0.5000  4 K 3.45, 4 Y 3.45
K 0.7500 0.7500 0.7500  4 Y 3.45, 4 Ag 3.45

Values from the calculation:
M_tot ... 0.000 μB per atom
Crystal system ... cubic
Theoretical density ... 4275 kg/m³
SG ... F-43m (216)
Electronic total energy ... -0.135 Ha/atom

# 8
The following is a DFT calculation (PBE) of a relaxed CaAl2FePd crystal.

Unit cell a=5.3453 b=4.7618 c=5.3453 alpha=90.00 beta=90.00 gamma=90.00
With the nearest neighbours (Å) after each atom.
Fractional coordinates of all 5 atoms:
Fe 0.5000 0.5000 0.5000  8 Al 3.58, 4 Pd 3.78
Al 0.0000 0.0000 0.5000  2 Ca 2.67
Al 0.5000 0.0000 0.0000  2 Ca 2.67
Ca 0.0000 0.0000 0.0000  2 Pd 2.38
Pd 0.0000 0.5000 0.0000  2 Ca 2.38

Values from the calculation:
M_tot ... 0.018 μB per atom
Crystal system ... tetragonal
Theoretical density ... 3128 kg/m³
SG ... P4/mmm (123)
Electronic total energy ... -0.104 Ha/atom

# 9
The following is a DFT calculation (PBE) of a relaxed BeRhBr2 crystal.

Unit cell a=6.1099 b=3.7681 c=8.8779 alpha=90.00 beta=106.83 gamma=90.00
With the nearest neighbours (Å) after each atom.
Fractional coordinates of all 8 atoms:
Rh 0.6275 0.5000 0.8601  3 Be 2.16-2.30
Rh 0.6742 0.0000 0.6527  3 Be 2.29-2.42, 1 Br 2.48
Be 0.4502 0.5000 0.6114  3 Rh 2.16-2.29, 2 Br 2.37
Be 0.4025 0.0000 0.8042  2 Br 2.26-2.29, 3 Rh 2.30-2.42
Br 0.7507 0.5000 0.4684  1 Be 2.52, 2 Rh 2.62
Br 0.6274 0.0000 0.0603  1 Be 2.29
Br 0.0570 0.0000 0.8493  1 Be 2.26, 1 Rh 2.48
Br 0.2546 0.0000 0.4754  2 Be 2.37, 1 Rh 2.59

Values from the calculation:
M_tot ... 0.000 μB per atom
Crystal system ... monoclinic
Theoretical density ... 4613 kg/m³
SG ... Pm (6)
Electronic total energy ... -0.147 Ha/atom
Offset from the most stable computed form ... 13 meV per atom

# 10
The following is a DFT calculation (PBE) of a relaxed Na5B7C3 crystal.

Unit cell a=11.5444 b=11.5444 c=9.9511 alpha=106.88 beta=106.88 gamma=14.19
With the nearest neighbours (Å) after each atom.
Fractional coordinates of all 30 atoms:
B 0.5857 0.5857 0.9211  2 C 1.64, 1 B 1.76
B 0.0833 0.0833 0.4161  3 B 1.76
B 0.9766 0.9766 0.7036  1 C 1.59, 2 B 1.76
B 0.7887 0.7887 0.3276  2 C 1.63, 1 B 1.78
B 0.8805 0.8805 0.0120  3 B 1.75-1.78
B 0.6234 0.6234 0.4964  1 C 1.59, 2 B 1.76
B 0.5167 0.5167 0.7839  3 B 1.76
B 0.4200 0.4200 0.0904  1 C 1.61, 2 B 1.75
B 0.2169 0.2169 0.6834  3 C 1.63-1.64
B 0.1800 0.1800 0.1096  1 C 1.61, 2 B 1.75
B 0.0143 0.0143 0.2789  2 C 1.64, 1 B 1.76
B 0.7195 0.7195 0.1880  3 B 1.75-1.78
B 0.8113 0.8113 0.8724  2 C 1.63, 1 B 1.78
B 0.3831 0.3831 0.5166  3 C 1.63-1.64
C 0.9144 0.9144 0.5791  3 B 1.59-1.64
C 0.4828 0.4828 0.2162  3 B 1.61-1.64
C 0.3193 0.3193 0.3899  3 B 1.63
C 0.1172 0.1172 0.9838  3 B 1.61-1.64
C 0.6856 0.6856 0.6209  3 B 1.59-1.64
C 0.2807 0.2807 0.8101  3 B 1.63
Na 0.3988 0.3988 0.8009  9 B 2.67-2.78, 3 C 2.73-2.74, 6 Na 2.85-2.94
Na 0.0995 0.0995 0.7017  9 B 2.68-2.82, 3 C 2.72-2.74, 6 Na 2.85-2.93
Na 0.5005 0.5005 0.4983  9 B 2.68-2.82, 3 C 2.72-2.74, 6 Na 2.85-2.93
Na 0.8000 0.8000 0.6000  6 B 2.65-2.70, 6 C 2.67-2.69, 6 Na 2.85-2.92
Na 0.0002 0.0002 0.9989  9 B 2.69-2.83, 3 C 2.71-2.73, 6 Na 2.85-2.94
Na 0.9001 0.9001 0.2994  7 B 2.65-2.76, 5 C 2.69-2.71, 6 Na 2.85-2.93
Na 0.3000 0.3000 0.1000  10 B 2.67-2.78, 2 C 2.79, 6 Na 2.85-2.93
Na 0.5998 0.5998 0.2011  9 B 2.69-2.83, 3 C 2.71-2.73, 6 Na 2.85-2.94
Na 0.2012 0.2012 0.3991  9 B 2.67-2.78, 3 C 2.73-2.74, 6 Na 2.85-2.94
Na 0.6999 0.6999 0.9006  7 B 2.65-2.76, 5 C 2.69-2.71, 6 Na 2.85-2.93

Values from the calculation:
M_tot ... 0.000 μB per atom
Crystal system ... monoclinic
Theoretical density ... 2421 kg/m³
SG ... C2/m (12)
Electronic total energy ... -0.194 Ha/atom
Offset from the most stable computed form ... 10 meV per atom

# 11
The following is a DFT calculation (PBE) of a relaxed Zr4Hg3 crystal.

Unit cell a=5.7146 b=5.7146 c=5.4619 alpha=90.00 beta=90.00 gamma=120.00
With the nearest neighbours (Å) after each atom.
Fractional coordinates of all 7 atoms:
Hg 0.5000 0.5000 0.0000  4 Hg 2.86, 8 Zr 3.19-3.20
Hg 0.0000 0.5000 0.0000  4 Hg 2.86, 8 Zr 3.19-3.20
Hg 0.5000 0.0000 0.0000  4 Hg 2.86, 8 Zr 3.19-3.20
Zr 0.6667 0.3333 0.5000  6 Hg 3.19, 9 Zr 3.30-3.54
Zr 0.0000 0.0000 0.7370  2 Zr 2.59-2.87
Zr 0.0000 0.0000 0.2630  2 Zr 2.59-2.87
Zr 0.3333 0.6667 0.5000  6 Hg 3.19, 9 Zr 3.30-3.54

Values from the calculation:
M_tot ... 0.000 μB per atom
Crystal system ... hexagonal
Theoretical density ... 10392 kg/m³
SG ... P6/mmm (191)
Electronic total energy ... -0.187 Ha/atom
Offset from the most stable computed form ... 55 meV per atom

# 12
The following is a DFT calculation (PBE) of a relaxed LiHg3I crystal.

Unit cell a=6.8293 b=6.8293 c=6.8293 alpha=90.00 beta=90.00 gamma=90.00
With the nearest neighbours (Å) after each atom.
Fractional coordinates of all 5 atoms:
Hg 0.0000 0.0000 0.5000  2 I 3.41
Hg 0.0000 0.5000 0.0000  2 I 3.41
Hg 0.5000 0.0000 0.0000  2 I 3.41
I 0.0000 0.0000 0.0000  6 Hg 3.41
Li 0.5000 0.5000 0.5000  12 Hg 4.83

Values from the calculation:
M_tot ... 0.000 μB per atom
Crystal system ... cubic
Theoretical density ... 3835 kg/m³
SG ... Pm-3m (221)
Electronic total energy ... -0.022 Ha/atom
Offset from the most stable computed form ... 457 meV per atom

# 13
The following is a DFT calculation (PBE) of a relaxed Dy3ThAs4 crystal.

Unit cell a=4.1628 b=7.1904 c=7.1904 alpha=109.48 beta=90.00 gamma=90.00
With the nearest neighbours (Å) after each atom.
Fractional coordinates of all 8 atoms:
Th 0.5000 0.0000 0.0000  6 As 2.96-2.97
As 0.5000 0.2521 0.7479  5 Dy 2.91-2.94, 1 Th 2.96
As 0.0000 0.2553 0.2553  4 Dy 2.91-2.94, 2 Th 2.97
As 0.5000 0.7479 0.2521  5 Dy 2.91-2.94, 1 Th 2.96
As 0.0000 0.7447 0.7447  4 Dy 2.91-2.94, 2 Th 2.97
Dy 0.0000 0.5000 0.0000  6 As 2.94
Dy 0.5000 0.5000 0.5000  6 As 2.91
Dy 0.0000 0.0000 0.5000  6 As 2.94

Values from the calculation:
M_tot ... 0.000 μB per atom
Crystal system ... orthorhombic
Theoretical density ... 8341 kg/m³
SG ... Cmmm (65)
Electronic total energy ... -0.239 Ha/atom
Offset from the most stable computed form ... 0 meV per atom

# 14
The following is a DFT calculation (PBE) of a relaxed SrSiHg crystal.

Unit cell a=4.4696 b=4.4696 c=4.6719 alpha=90.00 beta=90.00 gamma=120.00
With the nearest neighbours (Å) after each atom.
Fractional coordinates of all 3 atoms:
Hg 0.0000 0.0000 0.1670  3 Si 2.58
Si 0.6667 0.3333 0.1665  3 Hg 2.58
Sr 0.3333 0.6667 0.6665  6 Hg 3.48, 6 Si 3.48

Values from the calculation:
M_tot ... 0.000 μB per atom
Crystal system ... hexagonal
Theoretical density ... 6498 kg/m³
SG ... P-6m2 (187)
Electronic total energy ... -0.104 Ha/atom